VASP calculation (PBE with a Hubbard U) on a relaxed structure of CsCr3O8.

abc: 16.758 5.573 8.634
angles: 90.00 90.00 90.00
Space group Pnma (No. 62)
Unique sites:
Cs (0.228, 0.250, 0.011) (multiplicity 4)
Cr (0.041, 0.750, 0.742) (multiplicity 4)
Cr (0.082, 0.750, 0.129) (multiplicity 4)
Cr (0.107, 0.250, 0.548) (multiplicity 4)
O (0.019, 0.250, 0.458) (multiplicity 4)
O (0.031, 0.502, 0.174) (multiplicity 8)
O (0.104, 0.750, 0.937) (multiplicity 4)
O (0.115, 0.001, 0.660) (multiplicity 8)
O (0.167, 0.750, 0.219) (multiplicity 4)
O (0.180, 0.250, 0.426) (multiplicity 4)

## Properties
Total DFT energy (no corrections)   -6.762 eV/atom
Relative energy among the computed polymorphs   7.1 meV/atom
Theoretical density   3.4 g/cm³